(1)
DFT (meta-GGA SCAN) results for a crystal of MnW3Br relaxed with PBEsol.

Unit cell a=4.500 b=4.500 c=4.500 alpha=90.00 beta=90.00 gamma=90.00
Element x y z (fractional)
Mn1 0.000 0.000 0.000
W1 0.000 0.000 0.500
W2 0.000 0.500 0.000
W3 0.500 0.000 0.000
Br1 0.500 0.500 0.500

Computed properties:
Volume: 91.2 Å³ per cell
Space group: Pm-3m (221)
Total magnetization: 0.0 μB/cell
Density of states at the Fermi level: 4.27 states/eV/cell


(2)
DFT (meta-GGA SCAN) results for a crystal of MnW2Br relaxed with PBEsol.

Unit cell a=5.181 b=5.181 c=5.181 alpha=147.50 beta=128.86 gamma=61.91
Element x y z (fractional)
Mn1 0.000 0.000 0.000
W1 0.241 0.741 0.500
W2 0.532 0.532 0.000
Br1 0.777 0.277 0.500

Computed properties:
Volume: 57.6 Å³ per cell
Space group: Imm2 (44)
Total magnetization: 0.0 μB/cell
Relative energy among the computed polymorphs: 35 meV per atom
Density of states at the Fermi level: 2.40 states/eV/cell


(3)
DFT (meta-GGA SCAN) results for a crystal of MnW2Br relaxed with PBEsol.

Unit cell a=5.087 b=5.087 c=2.854 alpha=100.41 beta=100.41 gamma=117.41
Element x y z (fractional)
Mn1 0.000 0.000 0.000
W1 0.000 0.500 0.500
W2 0.500 0.000 0.500
Br1 0.500 0.500 0.000

Computed properties:
Volume: 61.5 Å³ per cell
Space group: C2/m (12)
Total magnetization: 2.6 μB/cell
Relative energy among the computed polymorphs: 0 meV per atom
Density of states at the Fermi level: 3.03 states/eV/cell


(4)
DFT (meta-GGA SCAN) results for a crystal of YMnBr2 relaxed with PBEsol.

Unit cell a=6.305 b=6.305 c=6.305 alpha=143.34 beta=143.34 gamma=52.82
Element x y z (fractional)
Y1 0.000 0.000 0.000
Mn1 0.250 0.750 0.500
Br1 0.500 0.500 0.000
Br2 0.750 0.250 0.500

Computed properties:
Volume: 88.8 Å³ per cell
Space group: I-4m2 (119)
Total magnetization: 4.6 μB/cell
Relative energy among the computed polymorphs: 169 meV per atom
Density of states at the Fermi level: 2.91 states/eV/cell


(5)
DFT (meta-GGA SCAN) results for a crystal of YMnBr2 relaxed with PBEsol.

Unit cell a=9.118 b=9.118 c=9.118 alpha=23.06 beta=23.06 gamma=23.06
Element x y z (fractional)
Y1 0.000 0.000 0.000
Mn1 0.500 0.500 0.500
Br1 0.107 0.107 0.107
Br2 0.893 0.893 0.893

Computed properties:
Volume: 102.0 Å³ per cell
Space group: R-3m (166)
Total magnetization: 4.1 μB/cell
Relative energy among the computed polymorphs: 39 meV per atom
Density of states at the Fermi level: 3.04 states/eV/cell


(6)
DFT (meta-GGA SCAN) results for a crystal of YMnBr2 relaxed with PBEsol.

Unit cell a=5.650 b=5.650 c=3.565 alpha=107.47 beta=107.47 gamma=107.31
Element x y z (fractional)
Y1 0.000 0.000 0.000
Mn1 0.500 0.500 0.000
Br1 0.000 0.500 0.000
Br2 0.500 0.000 0.000

Computed properties:
Volume: 93.7 Å³ per cell
Space group: C2/m (12)
Total magnetization: 4.1 μB/cell
Relative energy among the computed polymorphs: 0 meV per atom
Density of states at the Fermi level: 1.66 states/eV/cell


(7)
DFT (meta-GGA SCAN) results for a crystal of YMnBr relaxed with PBEsol.

Unit cell a=6.553 b=6.553 c=6.553 alpha=150.45 beta=150.45 gamma=42.29
Element x y z (fractional)
Y1 0.000 0.000 0.000
Mn1 0.347 0.347 0.000
Br1 0.662 0.662 0.000

Computed properties:
Volume: 68.3 Å³ per cell
Space group: I4mm (107)
Total magnetization: 3.4 μB/cell
Density of states at the Fermi level: 1.43 states/eV/cell


(8)
DFT (meta-GGA SCAN) results for a crystal of YMnBr relaxed with PBEsol.

Unit cell a=4.631 b=4.631 c=4.631 alpha=60.00 beta=60.00 gamma=60.00
Element x y z (fractional)
Y1 0.000 0.000 0.000
Mn1 0.500 0.500 0.500
Br1 0.250 0.250 0.250

Computed properties:
Volume: 70.2 Å³ per cell
Space group: F-43m (216)
Total magnetization: 3.7 μB/cell
Density of states at the Fermi level: 3.09 states/eV/cell


Number 1: DFT total energy -47.39 eV/atom. Number 2: DFT total energy -43.15 eV/atom. Number 3: DFT total energy -43.18 eV/atom. Number 4: DFT total energy -21.77 eV/atom. Number 5: DFT total energy -21.90 eV/atom. Number 6: DFT total energy -21.94 eV/atom. Number 7: DFT total energy -22.36 eV/atom. Number 8: DFT total energy -21.84 eV/atom.